CsTl2TeI8 | PBE | relaxed

Lattice parameters (Å, degrees): 6.948 7.997 11.264 90.00 89.87 88.07
Fractional positions:
Cs 0.000 0.000 0.000
Tl 0.498 0.500 0.276
Tl 0.502 0.500 0.724
Te 0.000 0.000 0.500
I 0.231 0.680 0.501
I 0.235 0.143 0.694
I 0.237 0.140 0.306
I 0.244 0.506 0.000
I 0.756 0.494 0.000
I 0.763 0.860 0.694
I 0.765 0.857 0.306
I 0.769 0.320 0.499

## Properties
Final energy (eV per atom): -2.240
E_form (uncorrected) (eV per formula unit): -5.75
Symmetry: No. 2